No. 1
VASP calculation (GGA-PBEsol) on crystalline Zr2MnTl at its relaxed geometry.

Cell and atoms, written as POSCAR:
```
Zr2MnTl
1.0
-4.0730 0.5767 0.3812
-0.0517 -2.5257 3.2688
2.8274 4.5459 0.9465
Mn Tl Zr
1 1 2
Direct
0.5000 0.5000 0.0000
0.2500 0.7500 0.5000
0.0000 0.0000 0.0000
0.7500 0.2500 0.5000
```

Results
For the volume, the calculation gives 78 Å³ per cell. The crystal system is tetragonal. The calculation puts the raw total energy at -7.5423 eV/atom. Its formation energy is 0.10 eV/atom.

No. 2
VASP calculation (GGA-PBEsol) on crystalline TmMn2 at its relaxed geometry.

Cell and atoms, written as POSCAR:
```
TmMn2
1.0
-3.0867 -3.4335 -1.8424
4.5774 -1.2921 1.4452
-2.7870 -1.5080 7.4794
Tm Mn
4 8
Direct
0.3333 0.6667 0.4375
0.6667 0.3333 0.9375
0.6667 0.3333 0.5625
0.3333 0.6667 0.0625
0.0000 0.0000 0.5000
0.0000 0.0000 0.0000
0.3379 0.1690 0.2500
0.1690 0.8310 0.7500
0.1690 0.3379 0.7500
0.8310 0.6621 0.2500
0.8310 0.1690 0.2500
0.6621 0.8310 0.7500
```

Results
For the volume, the calculation gives 174 Å³ per cell. The crystal system is hexagonal. The calculation puts the raw total energy at -8.0814 eV/atom. Its formation energy is 0.06 eV/atom.

No. 3
VASP calculation (GGA-PBEsol) on crystalline TmMn12 at its relaxed geometry.

Cell and atoms, written as POSCAR:
```
TmMn12
1.0
-2.5188 -3.6126 0.9118
3.4321 -4.6300 2.2280
-2.1104 0.1373 5.8058
Tm Mn
1 12
Direct
0.0000 0.0000 0.0000
0.0000 0.5000 0.0000
0.5000 0.5000 0.0000
0.0000 0.0000 0.5000
0.5000 0.0000 0.5000
0.0000 0.3643 0.6357
0.0000 0.6357 0.3643
0.3643 0.6357 0.6357
0.6357 0.3643 0.3643
0.5000 0.7756 0.2244
0.5000 0.2244 0.7756
0.2756 0.2244 0.2244
0.7244 0.7756 0.7756
```

Results
For the volume, the calculation gives 149 Å³ per cell. The crystal system is tetragonal. The calculation puts the raw total energy at -9.3904 eV/atom. Its formation energy is 0.00 eV/atom.

No. 4
VASP calculation (GGA-PBEsol) on crystalline MnV3 at its relaxed geometry.

Cell and atoms, written as POSCAR:
```
MnV3
1.0
-0.8103 1.4228 -3.7421
1.6449 -1.8076 -3.2727
-2.3580 -2.1611 -2.5404
Mn V
1 3
Direct
0.0000 0.0000 0.0000
0.2500 0.2500 0.2500
0.7500 0.7500 0.7500
0.5000 0.5000 0.5000
```

Results
For the volume, the calculation gives 48 Å³ per cell. The crystal system is cubic. The calculation puts the raw total energy at -9.8190 eV/atom. Its formation energy is -0.15 eV/atom.

No. 5
VASP calculation (GGA-PBEsol) on crystalline MnW2 at its relaxed geometry.

Cell and atoms, written as POSCAR:
```
MnW2
1.0
2.6542 0.0000 0.0000
0.0000 4.3121 0.0000
0.0000 -2.1561 3.7344
Mn W
1 2
Direct
0.0000 0.0000 0.0000
0.6736 0.6667 0.3333
0.3264 0.3333 0.6667
```

Results
For the volume, the calculation gives 43 Å³ per cell. The crystal system is trigonal. The calculation puts the raw total energy at -12.2629 eV/atom. Its formation energy is 0.20 eV/atom.

No. 6
VASP calculation (GGA-PBEsol) on crystalline MnW3 at its relaxed geometry.

Cell and atoms, written as POSCAR:
```
MnW3
1.0
2.7265 0.0000 0.0000
0.0000 2.7265 0.0000
0.0000 0.0000 7.8270
Mn W
1 3
Direct
0.0000 0.0000 0.0000
0.0000 0.0000 0.5000
0.5000 0.5000 0.2151
0.5000 0.5000 0.7849
```

Results
For the volume, the calculation gives 58 Å³ per cell. The crystal system is tetragonal. The calculation puts the raw total energy at -12.5095 eV/atom. Its formation energy is 0.29 eV/atom.

No. 7
VASP calculation (GGA-PBEsol) on crystalline MnW2 at its relaxed geometry.

Cell and atoms, written as POSCAR:
```
MnW2
1.0
-0.1729 -0.4726 -2.8327
2.6173 -3.0699 0.3524
-3.0804 -2.5558 0.6144
Mn W
1 2
Direct
0.0000 0.0000 0.0000
0.5000 0.0000 0.5000
0.5000 0.5000 0.0000
```

Results
For the volume, the calculation gives 47 Å³ per cell. The crystal system is tetragonal. The calculation puts the raw total energy at -11.5999 eV/atom. Its formation energy is 0.86 eV/atom.

No. 8
VASP calculation (GGA-PBEsol) on crystalline Mn5W at its relaxed geometry.

Cell and atoms, written as POSCAR:
```
Mn5W
1.0
-1.7575 -4.1877 0.6838
2.3932 -3.7232 -1.2265
1.7888 -2.7435 3.2197
Mn W
5 1
Direct
0.3765 0.3765 0.3765
0.7500 0.7500 0.7500
0.8706 0.3765 0.3765
0.3765 0.8706 0.3765
0.3765 0.3765 0.8706
0.0000 0.0000 0.0000
```

Results
For the volume, the calculation gives 69 Å³ per cell. The crystal system is cubic. The calculation puts the raw total energy at -10.4043 eV/atom. Its formation energy is 0.03 eV/atom.